1.
This record from Alexandria via LeMat-Bulk describes an optimized crystal structure of MnNb2Si2. The functional is GGA-PBEsol.

Calculated values
As for the uncorrected energy: -9.15 eV per atom. For the magnetization, the calculation gives 0.47 μB/atom. As for the space group: No. 127.

a b c (Å): 3.6051 6.3460 6.3460
angles (deg): 90.00 90.00 90.00
With the nearest neighbours (Å) after each atom.
Fractional positions:
Si (0.0000, 0.6322, 0.1322)  1 Si 2.37, 2 Mn 2.48, 6 Nb 2.52-2.65
Si (0.0000, 0.8678, 0.6322)  1 Si 2.37, 2 Mn 2.48, 6 Nb 2.52-2.65
Si (0.0000, 0.1322, 0.3678)  1 Si 2.37, 2 Mn 2.48, 6 Nb 2.52-2.65
Si (0.0000, 0.3678, 0.8678)  1 Si 2.37, 2 Mn 2.48, 6 Nb 2.52-2.65
Nb (0.5000, 0.1720, 0.6720)  6 Si 2.52-2.65
Nb (0.5000, 0.3280, 0.1720)  6 Si 2.52-2.65
Nb (0.5000, 0.6720, 0.8280)  6 Si 2.52-2.65
Nb (0.5000, 0.8280, 0.3280)  6 Si 2.52-2.65
Mn (0.0000, 0.0000, 0.0000)  4 Si 2.48
Mn (0.0000, 0.5000, 0.5000)  4 Si 2.48

---

2.
This record from Alexandria via LeMat-Bulk describes an optimized crystal structure of NdC6N9. The functional is GGA-PBEsol.

Calculated values
As for the uncorrected energy: -8.76 eV per atom. For the magnetization, the calculation gives 0.00 μB/atom. As for the space group: No. 63.

a b c (Å): 6.9712 6.9712 10.2137
angles (deg): 90.00 90.00 111.42
With the nearest neighbours (Å) after each atom.
Fractional positions:
N (0.8603, 0.5804, 0.9017)  1 C 1.18
N (0.1397, 0.4196, 0.0983)  1 C 1.18
N (0.1588, 0.8412, 0.4891)  2 C 1.30
N (0.5804, 0.8603, 0.4017)  1 C 1.18
N (0.9042, 0.6493, 0.2500)  1 C 1.18
N (0.8603, 0.5804, 0.5983)  1 C 1.18
N (0.8412, 0.1588, 0.9891)  2 C 1.30
N (0.4196, 0.1397, 0.5983)  1 C 1.18
N (0.6493, 0.9042, 0.7500)  1 C 1.18
N (0.3507, 0.0958, 0.2500)  1 C 1.18
N (0.5247, 0.4753, 0.2500)  2 C 1.30
N (0.0958, 0.3507, 0.7500)  1 C 1.18
N (0.5804, 0.8603, 0.0983)  1 C 1.18
N (0.1588, 0.8412, 0.0109)  2 C 1.30
N (0.4196, 0.1397, 0.9017)  1 C 1.18
N (0.8412, 0.1588, 0.5109)  2 C 1.30
N (0.4753, 0.5247, 0.7500)  2 C 1.30
N (0.1397, 0.4196, 0.4017)  1 C 1.18
C (0.9971, 0.2915, 0.4501)  2 N 1.18-1.30
C (0.2915, 0.9971, 0.5499)  2 N 1.18-1.30
C (0.7085, 0.0029, 0.4501)  2 N 1.18-1.30
C (0.7085, 0.0029, 0.0499)  2 N 1.18-1.30
C (0.0029, 0.7085, 0.5499)  2 N 1.18-1.30
C (0.7244, 0.5626, 0.2500)  2 N 1.18-1.30
C (0.0029, 0.7085, 0.9501)  2 N 1.18-1.30
C (0.9971, 0.2915, 0.0499)  2 N 1.18-1.30
C (0.4374, 0.2756, 0.2500)  2 N 1.18-1.30
C (0.2915, 0.9971, 0.9501)  2 N 1.18-1.30
C (0.2756, 0.4374, 0.7500)  2 N 1.18-1.30
C (0.5626, 0.7244, 0.7500)  2 N 1.18-1.30
Nd (0.7180, 0.2820, 0.7500)  6 N 2.49-2.50
Nd (0.2820, 0.7180, 0.2500)  6 N 2.49-2.50

---

3.
This record from Alexandria via LeMat-Bulk describes an optimized crystal structure of KNiAsRh2. The functional is GGA-PBEsol.

Calculated values
The formation enthalpy at 0 K is 2.507 eV per atom. For the magnetization, the calculation gives 0.32 μB/atom. As for the space group: No. 123.

a b c (Å): 4.4856 4.4856 5.1634
angles (deg): 90.00 90.00 90.00
With the nearest neighbours (Å) after each atom.
Fractional positions:
Rh (0.5000, 0.0000, 0.0000)  2 K 2.24
Rh (0.0000, 0.5000, 0.0000)  2 K 2.24
K (0.0000, 0.0000, 0.0000)  4 Rh 2.24
Ni (0.5000, 0.5000, 0.5000)  4 As 3.17, 8 Rh 3.42
As (0.0000, 0.0000, 0.5000)  2 K 2.58

---

4.
This record from Alexandria via LeMat-Bulk describes an optimized crystal structure of CoHg2IrBr. The functional is GGA-PBEsol.

Calculated values
As for the uncorrected energy: -2.89 eV per atom. For the magnetization, the calculation gives 0.30 μB/atom. As for the space group: No. 123.

a b c (Å): 4.2268 4.9353 4.9353
angles (deg): 90.00 90.00 90.00
With the nearest neighbours (Å) after each atom.
Fractional positions:
Hg (0.0000, 0.0000, 0.5000)  2 Co 2.47
Hg (0.0000, 0.5000, 0.0000)  2 Co 2.47
Br (0.5000, 0.0000, 0.0000)  2 Co 2.11
Ir (0.5000, 0.5000, 0.5000)  8 Hg 3.25, 4 Br 3.49
Co (0.0000, 0.0000, 0.0000)  2 Br 2.11

---

The lowest magnetization belongs to which entry? NdC6N9